1:
First-principles (PBE) data for Sc3ZnRu after structural relaxation, as listed in Alexandria.

The structure belongs to space group Pm-3m (No. 221); the cell edges are 4.8655, 4.8655 and 4.8655 Å and the angles 90.00°, 90.00° and 90.00°. Symmetry generates all atoms from Sc at (0.0000, 0.0000, 0.5000), Zn at (0.0000, 0.0000, 0.0000) and Ru at (0.5000, 0.5000, 0.5000).

As for the size of the total moment: 0.00 Bohr magnetons per cell.

---

2:
First-principles (PBE) data for Sc3ZnRu after structural relaxation, as listed in Alexandria.

The structure belongs to space group Pm-3m (No. 221); the cell edges are 4.9716, 4.9716 and 4.9716 Å and the angles 90.00°, 90.00° and 90.00°. Symmetry generates all atoms from Sc at (0.0000, 0.0000, 0.5000), Zn at (0.5000, 0.5000, 0.5000) and Ru at (0.0000, 0.0000, 0.0000).

As for the size of the total moment: 0.00 Bohr magnetons per cell.

---

It is 2 that is most stable; the runner-up trails by 63.0 kJ/mol of atoms.

---

1:
First-principles (PBE) data for ZrSc2Ru3 after structural relaxation, as listed in Alexandria.

The structure belongs to space group P4/mmm (No. 123); the cell edges are 3.2402, 3.2402 and 9.6593 Å and the angles 90.00°, 90.00° and 90.00°. Symmetry generates all atoms from Zr at (0.0000, 0.0000, 0.0000), Sc at (0.0000, 0.0000, 0.3375), Ru at (0.5000, 0.5000, 0.1652) and Ru at (0.5000, 0.5000, 0.5000).

As for the size of the total moment: 0.00 Bohr magnetons per cell.

---

2:
First-principles (PBE) data for ZrSc2Ru3 after structural relaxation, as listed in Alexandria.

The structure belongs to space group P-3m1 (No. 164); the cell edges are 4.5707, 4.5707 and 11.1978 Å and the angles 90.00°, 90.00° and 120.00°. Symmetry generates all atoms from Zr at (0.3333, 0.6667, 0.1688), Sc at (0.0000, 0.0000, 0.0000), Sc at (0.0000, 0.0000, 0.5000), Sc at (0.3333, 0.6667, 0.6623), Ru at (0.0000, 0.0000, 0.2491), Ru at (0.3333, 0.6667, 0.4150) and Ru at (0.3333, 0.6667, 0.9168).

As for the size of the total moment: 0.00 Bohr magnetons per cell.

---

It is 2 that is most stable; the runner-up trails by 0.6 kJ/mol of atoms.

---

1:
First-principles (PBE) data for Zr2ScRu3 after structural relaxation, as listed in Alexandria.

The structure belongs to space group P4/mmm (No. 123); the cell edges are 3.2601, 3.2601 and 9.7483 Å and the angles 90.00°, 90.00° and 90.00°. Symmetry generates all atoms from Zr at (0.0000, 0.0000, 0.1703), Sc at (0.0000, 0.0000, 0.5000), Ru at (0.5000, 0.5000, 0.0000) and Ru at (0.5000, 0.5000, 0.3322).

As for the size of the total moment: 0.00 Bohr magnetons per cell.

---

2:
First-principles (PBE) data for Zr2ScRu3 after structural relaxation, as listed in Alexandria.

The structure belongs to space group P-3m1 (No. 164); the cell edges are 4.6021, 4.6021 and 11.2654 Å and the angles 90.00°, 90.00° and 120.00°. Symmetry generates all atoms from Zr at (0.0000, 0.0000, 0.0000), Zr at (0.0000, 0.0000, 0.5000), Zr at (0.3333, 0.6667, 0.1712), Sc at (0.3333, 0.6667, 0.6648), Ru at (0.0000, 0.0000, 0.2490), Ru at (0.3333, 0.6667, 0.4170) and Ru at (0.3333, 0.6667, 0.9178).

As for the size of the total moment: 0.00 Bohr magnetons per cell.

---

It is 2 that is most stable; the runner-up trails by 0.6 kJ/mol of atoms.

---

1:
First-principles (PBE) data for Zr2ScRu after structural relaxation, as listed in Alexandria.

The structure belongs to space group Pmmm (No. 47); the cell edges are 3.3988, 4.7614 and 4.8510 Å and the angles 90.00°, 90.00° and 90.00°. Symmetry generates all atoms from Zr at (0.0000, 0.0000, 0.0000), Zr at (0.5000, 0.5000, 0.0000), Sc at (0.0000, 0.5000, 0.5000) and Ru at (0.5000, 0.0000, 0.5000).

As for the size of the total moment: 0.00 Bohr magnetons per cell.

---

2:
First-principles (PBE) data for Zr2ScRu after structural relaxation, as listed in Alexandria.

The structure belongs to space group R-3m (No. 166, hexagonal axes); the cell edges are 3.2589, 3.2589 and 27.6467 Å and the angles 90.00°, 90.00° and 120.00°. Symmetry generates all atoms from Zr at (0.0000, 0.0000, 0.2378), Sc at (0.0000, 0.0000, 0.0000) and Ru at (0.0000, 0.0000, 0.5000).

As for the size of the total moment: 0.00 Bohr magnetons per cell.

---

It is 1 that is most stable; the runner-up trails by 6.0 kJ/mol of atoms.

---

1:
First-principles (PBE) data for ZrSc2Ru2 after structural relaxation, as listed in Alexandria.

The structure belongs to space group P4/mbm (No. 127); the cell edges are 7.5083, 7.5083 and 3.3058 Å and the angles 90.00°, 90.00° and 90.00°. Symmetry generates all atoms from Zr at (0.0000, 0.0000, 0.0000), Sc at (0.1463, 0.3537, 0.5000) and Ru at (0.1553, 0.6553, 0.0000).

As for the size of the total moment: 0.00 Bohr magnetons per cell.

---

2:
First-principles (PBE) data for ZrSc2Ru2 after structural relaxation, as listed in Alexandria.

The structure belongs to space group P4/mbm (No. 127); the cell edges are 7.7674, 7.7674 and 3.0243 Å and the angles 90.00°, 90.00° and 90.00°. Symmetry generates all atoms from Zr at (0.0000, 0.0000, 0.0000), Sc at (0.1305, 0.3695, 0.0000) and Ru at (0.1727, 0.6727, 0.5000).

As for the size of the total moment: 0.00 Bohr magnetons per cell.

---

3:
First-principles (PBE) data for ZrSc2Ru2 after structural relaxation, as listed in Alexandria.

The structure belongs to space group Cmmm (No. 65); the cell edges are 3.2141, 19.3372 and 3.1878 Å and the angles 90.00°, 90.00° and 90.00°. Symmetry generates all atoms from Zr at (0.0000, 0.0000, 0.0000), Sc at (0.0000, 0.1684, 0.0000) and Ru at (0.0000, 0.4127, 0.5000).

As for the size of the total moment: 0.00 Bohr magnetons per cell.

---

It is 3 that is most stable; the runner-up trails by 9.9 kJ/mol of atoms.

---

1:
First-principles (PBE) data for Zr2ScRu2 after structural relaxation, as listed in Alexandria.

The structure belongs to space group P4/mbm (No. 127); the cell edges are 7.6581, 7.6581 and 3.2861 Å and the angles 90.00°, 90.00° and 90.00°. Symmetry generates all atoms from Zr at (0.1535, 0.3465, 0.0000), Sc at (0.0000, 0.0000, 0.5000) and Ru at (0.1438, 0.6438, 0.5000).

As for the size of the total moment: 0.00 Bohr magnetons per cell.

---

2:
First-principles (PBE) data for Zr2ScRu2 after structural relaxation, as listed in Alexandria.

The structure belongs to space group P2_1/m (No. 11); the cell edges are 3.2905, 4.7369 and 11.9507 Å and the angles 90.00°, 97.93° and 90.00°. Symmetry generates all atoms from Zr at (0.0487, 0.2500, 0.0973), Zr at (0.2337, 0.2500, 0.4687), Sc at (0.1426, 0.7500, 0.2856), Ru at (0.3560, 0.7500, 0.7118) and Ru at (0.4530, 0.2500, 0.9057).

As for the size of the total moment: 0.00 Bohr magnetons per cell.

---

It is 2 that is most stable; the runner-up trails by 14.7 kJ/mol of atoms.